Record 1
Density functional theory data (PBE-GGA) for a relaxed structure of ScMn2Cl.

a = 3.0499 Å, b = 4.4792 Å, c = 5.1392 Å
α = 90.00°, β = 90.00°, γ = 90.00°
Last column: nearest neighbours and their distance in Å.
Space group Pmmm (No. 47)
Symmetry-distinct sites (fractional):
Sc1 0.0000 0.0000 0.0000 (multiplicity 1)  4 Cl 2.71, 4 Mn 2.99
Mn1 0.0000 0.5000 0.5000 (multiplicity 1)  4 Mn 2.71, 4 Cl 2.99
Mn2 0.5000 0.0000 0.5000 (multiplicity 1)  4 Mn 2.71, 4 Sc 2.99
Cl1 0.5000 0.5000 0.0000 (multiplicity 1)  4 Sc 2.71, 4 Mn 2.99

* final energy: -26.2 eV per cell
* E_form (uncorrected): 7.0 kJ/mol of atoms
* energy relative to the lowest polymorph listed for this composition: 0.367 eV per atom

***

Record 2
Density functional theory data (PBE-GGA) for a relaxed structure of ScMn2Cl.

a = 3.5132 Å, b = 3.5254 Å, c = 5.5683 Å
α = 90.00°, β = 90.00°, γ = 90.00°
Last column: nearest neighbours and their distance in Å.
Space group Pmmm (No. 47)
Symmetry-distinct sites (fractional):
Sc1 0.0000 0.0000 0.0000 (multiplicity 1)  2 Cl 2.78, 8 Mn 2.82
Mn1 0.5000 0.5000 0.2366 (multiplicity 2)  2 Mn 2.63-2.93, 4 Sc 2.82, 4 Cl 2.89
Cl1 0.0000 0.0000 0.5000 (multiplicity 1)  2 Sc 2.78, 8 Mn 2.89

* final energy: -25.9 eV per cell
* E_form (uncorrected): 13.9 kJ/mol of atoms
* energy relative to the lowest polymorph listed for this composition: 0.438 eV per atom

***

Record 3
Density functional theory data (PBE-GGA) for a relaxed structure of ScMnCl6.

a = 6.1692 Å, b = 6.2292 Å, c = 6.6029 Å
α = 62.00°, β = 89.72°, γ = 62.77°
Last column: nearest neighbours and their distance in Å.
Space group P-1 (No. 2)
Symmetry-distinct sites (fractional):
Sc1 0.0000 0.0000 0.0000 (multiplicity 1)  6 Cl 2.42-2.57
Mn1 0.5000 0.0000 0.5000 (multiplicity 1)  4 Cl 2.31-2.32
Cl1 0.0984 0.5145 0.2423 (multiplicity 2)  1 Sc 2.42, 1 Mn 2.64
Cl2 0.2666 0.8453 0.7429 (multiplicity 2)  1 Mn 2.32, 1 Sc 2.56
Cl3 0.4047 0.8589 0.2634 (multiplicity 2)  1 Mn 2.31, 1 Sc 2.57

* final energy: -38.0 eV per cell
* E_form (uncorrected): -137.8 kJ/mol of atoms
* energy relative to the lowest polymorph listed for this composition: 0.047 eV per atom

***

Among the records above, which one has the lowest final energy?
ScMnCl6